Record 1
Ti5GaH2: relaxed, PBE.

## Properties
crystal system: tetragonal
D(E_F): 5.91 states/eV/cell
VASP energy: -6.332 eV per atom
size of the total moment: 0.00 μB per formula unit
symmetry: No. 139

abc: 3.967 3.967 7.404
angles: 105.54 105.54 90.00
Positions (direct):
Ti  0.146  0.646  0.292
Ti  0.646  0.146  0.292
Ti  0.354  0.854  0.708
Ti  0.854  0.354  0.708
Ti  0.000  0.000  0.000
Ga  0.500  0.500  0.000
H  0.136  0.136  0.272
H  0.864  0.864  0.728

Record 2
Sc2TaAg: relaxed, PBE.

## Properties
energy of formation from the pure elements: 0.220 eV per atom
crystal system: cubic
D(E_F): 3.19 states/eV/cell
size of the total moment: 2.24 μB per formula unit
symmetry: No. 225

abc: 4.863 4.863 4.863
angles: 60.00 60.00 60.00
Positions (direct):
Sc  0.250  0.250  0.250
Sc  0.750  0.750  0.750
Ag  0.000  0.000  0.000
Ta  0.500  0.500  0.500

Record 3
ZrFeMo: relaxed, PBE.

## Properties
energy of formation from the pure elements: -0.141 eV per atom
crystal system: orthorhombic
D(E_F): 10.60 states/eV/cell
size of the total moment: 1.30 μB per formula unit
symmetry: No. 38

abc: 5.191 5.191 8.477
angles: 90.00 90.00 120.00
Positions (direct):
Zr  0.332  0.668  0.181
Zr  0.663  0.337  0.302
Zr  0.663  0.337  0.698
Zr  0.332  0.668  0.819
Fe  0.002  0.998  0.236
Fe  0.002  0.998  0.764
Fe  0.835  0.660  0.000
Fe  0.340  0.165  0.000
Mo  0.836  0.164  0.000
Mo  0.166  0.335  0.500
Mo  0.665  0.834  0.500
Mo  0.167  0.833  0.500

Record 4
Sm5Zn4Cd: relaxed, PBE.

## Properties
energy of formation from the pure elements: -0.319 eV per atom
crystal system: tetragonal
D(E_F): 12.25 states/eV/cell
size of the total moment: 0.00 μB per formula unit
symmetry: No. 123

abc: 3.654 3.654 18.591
angles: 90.00 90.00 90.00
Positions (direct):
Sm  0.500  0.500  0.113
Sm  0.500  0.500  0.305
Sm  0.500  0.500  0.500
Sm  0.500  0.500  0.695
Sm  0.500  0.500  0.887
Zn  0.000  0.000  0.208
Zn  0.000  0.000  0.402
Zn  0.000  0.000  0.598
Zn  0.000  0.000  0.792
Cd  0.000  0.000  0.000

Record 5
Ge3OsS: relaxed, PBE.

## Properties
crystal system: cubic
D(E_F): 5.38 states/eV/cell
formation energy from raw total energies: 1.32 eV per atom
size of the total moment: 0.48 μB per formula unit
symmetry: No. 221

abc: 4.609 4.609 4.609
angles: 90.00 90.00 90.00
Positions (direct):
Ge  0.000  0.500  0.000
Ge  0.000  0.000  0.500
Ge  0.500  0.000  0.000
Os  0.500  0.500  0.500
S  0.000  0.000  0.000

Record 6
LiTa2B2: relaxed, PBE.

## Properties
energy of formation from the pure elements: -0.418 eV per atom
crystal system: tetragonal
D(E_F): 3.54 states/eV/cell
size of the total moment: 0.00 μB per formula unit
symmetry: No. 127

abc: 5.899 5.899 3.287
angles: 90.00 90.00 90.00
Positions (direct):
B  0.394  0.894  0.000
B  0.894  0.606  0.000
B  0.606  0.106  0.000
B  0.106  0.394  0.000
Li  0.000  0.000  0.000
Li  0.500  0.500  0.000
Ta  0.181  0.681  0.500
Ta  0.681  0.819  0.500
Ta  0.819  0.319  0.500
Ta  0.319  0.181  0.500